1.
Density functional theory data (PBE-GGA) for a relaxed structure of Li6Sm3Au5.

Lattice parameters (Å, degrees): 4.0919 10.5437 13.1190 90.00 90.00 90.00
Last column: nearest neighbours and their distance in Å.
Atoms (fractional coordinates):
Li 0.0000 0.9950 0.8465  3 Au 2.71-2.84, 2 Li 2.87
Li 0.5000 0.0050 0.6535  3 Au 2.71-2.84, 2 Li 2.87
Li 0.5000 0.4256 0.8152  4 Au 2.60-2.80, 1 Li 2.89
Li 0.5000 0.5749 0.0000  4 Au 2.57
Li 0.0000 0.4251 0.5000  4 Au 2.57
Li 0.0000 0.5744 0.6848  4 Au 2.60-2.80, 1 Li 2.89
Li 0.0000 0.5744 0.3152  4 Au 2.60-2.80, 1 Li 2.89
Li 0.5000 0.9848 0.0000  4 Au 2.73-2.79, 4 Li 2.87
Li 0.0000 0.9950 0.1535  3 Au 2.71-2.84, 2 Li 2.87
Li 0.5000 0.4256 0.1848  4 Au 2.60-2.80, 1 Li 2.89
Li 0.0000 0.0152 0.5000  4 Au 2.73-2.79, 4 Li 2.87
Li 0.5000 0.0050 0.3465  3 Au 2.71-2.84, 2 Li 2.87
Sm 0.0000 0.2447 0.6896  6 Au 3.05-3.26, 6 Li 3.13-3.34
Sm 0.5000 0.7553 0.1896  6 Au 3.05-3.26, 6 Li 3.13-3.34
Sm 0.5000 0.7553 0.8104  6 Au 3.05-3.26, 6 Li 3.13-3.34
Sm 0.0000 0.2901 0.0000  6 Au 3.14-3.18, 4 Li 3.48
Sm 0.5000 0.7099 0.5000  6 Au 3.14-3.18, 4 Li 3.48
Sm 0.0000 0.2447 0.3104  6 Au 3.05-3.26, 6 Li 3.13-3.34
Au 0.0000 0.5536 0.8826  5 Li 2.57-2.61
Au 0.0000 0.8366 0.6504  4 Li 2.71-2.80
Au 0.0000 0.8046 0.0000  4 Li 2.79-2.84, 2 Au 3.06
Au 0.5000 0.4464 0.6174  5 Li 2.57-2.61
Au 0.5000 0.1954 0.5000  4 Li 2.79-2.84, 2 Au 3.06
Au 0.0000 0.5536 0.1174  5 Li 2.57-2.61
Au 0.5000 0.4464 0.3826  5 Li 2.57-2.61
Au 0.0000 0.8366 0.3496  4 Li 2.71-2.80
Au 0.5000 0.1634 0.8496  4 Li 2.71-2.80
Au 0.5000 0.1634 0.1504  4 Li 2.71-2.80

Summary:
Formation enthalpy at 0 K   -0.535 eV/atom
Magnetic moment   0.00 μB per formula unit
SG   No. 59
Final energy   -3.537 eV per atom
Volume   566.0 Å³/cell

---

2.
Density functional theory data (PBE-GGA) for a relaxed structure of Mg2PbC.

Lattice parameters (Å, degrees): 4.7444 4.7444 4.7444 60.00 60.00 60.00
Last column: nearest neighbours and their distance in Å.
Atoms (fractional coordinates):
Pb 0.5000 0.5000 0.5000  8 Mg 2.91
Mg 0.2500 0.2500 0.2500  4 Pb 2.91, 4 C 2.91
Mg 0.7500 0.7500 0.7500  4 Pb 2.91, 4 C 2.91
C 0.0000 0.0000 0.0000  8 Mg 2.91

Summary:
Formation enthalpy at 0 K   1.051 eV/atom
Magnetic moment   0.00 μB per formula unit
SG   No. 225
Final energy   -2.980 eV per atom
Volume   75.5 Å³/cell

---

3.
Density functional theory data (PBE-GGA) for a relaxed structure of Nd2Sb2H.

Lattice parameters (Å, degrees): 4.4654 6.3135 9.6230 90.00 103.42 90.00
Last column: nearest neighbours and their distance in Å.
Atoms (fractional coordinates):
Nd 0.5902 0.5753 0.1803  1 H 2.30
Nd 0.1669 0.0290 0.3339  2 H 2.45
Nd 0.8331 0.5290 0.6661  2 H 2.45
Nd 0.4098 0.0753 0.8197  1 H 2.30
Sb 0.0047 0.3033 0.0093  2 Sb 3.16, 6 Nd 3.19-3.51, 2 H 3.41
Sb 0.2103 0.5352 0.4205  1 H 3.13, 6 Nd 3.18-3.30
Sb 0.7897 0.0352 0.5795  1 H 3.13, 6 Nd 3.18-3.30
Sb 0.9953 0.8033 0.9907  2 Sb 3.16, 6 Nd 3.19-3.51, 2 H 3.41
H 0.6269 0.9228 0.2538  3 Nd 2.30-2.45
H 0.3731 0.4228 0.7462  3 Nd 2.30-2.45

Summary:
Magnetic moment   0.00 μB per formula unit
SG   No. 36
Final energy   -5.075 eV per atom
Volume   263.9 Å³/cell

---

4.
Density functional theory data (PBE-GGA) for a relaxed structure of Er7Tl4N.

Lattice parameters (Å, degrees): 4.8346 8.9453 8.6818 77.36 73.83 74.32
Last column: nearest neighbours and their distance in Å.
Atoms (fractional coordinates):
Er 0.7788 0.8532 0.5893  4 Tl 3.07-3.13
Er 0.2212 0.1468 0.4107  4 Tl 3.07-3.13
Er 0.0510 0.7621 0.1359  1 N 2.18
Er 0.9490 0.2379 0.8641  1 N 2.18
Er 0.3768 0.5439 0.7026  5 Tl 3.09-3.25
Er 0.5000 0.0000 0.0000  2 N 2.42
Er 0.6232 0.4561 0.2974  5 Tl 3.09-3.25
Tl 0.5866 0.2062 0.6206  8 Er 3.07-3.38
Tl 0.4134 0.7938 0.3794  8 Er 3.07-3.38
Tl 0.7255 0.6273 0.9217  8 Er 3.13-3.46, 2 Tl 3.39
Tl 0.2745 0.3727 0.0783  8 Er 3.13-3.46, 2 Tl 3.39
N 0.0000 0.0000 0.0000  4 Er 2.18-2.42

Summary:
Magnetic moment   0.00 μB per formula unit
SG   No. 12
ΔE_f (raw)   -0.29 eV/atom
Final energy   -4.434 eV per atom
Volume   343.0 Å³/cell

---

5.
Density functional theory data (PBE-GGA) for a relaxed structure of BaLaAs2.

Lattice parameters (Å, degrees): 4.4357 4.4357 8.3294 74.56 74.56 60.00
Last column: nearest neighbours and their distance in Å.
Atoms (fractional coordinates):
Ba 0.4971 0.4971 0.5087  6 As 3.34-3.44
La 0.6690 0.6690 0.9931  6 As 3.07-3.12
As 0.0735 0.0735 0.7796  3 La 3.07, 3 Ba 3.34
As 0.2605 0.2605 0.2186  3 La 3.12, 3 Ba 3.44

Summary:
Formation enthalpy at 0 K   -1.103 eV/atom
Magnetic moment   0.00 μB per formula unit
SG   No. 160
Final energy   -5.141 eV per atom
Volume   135.1 Å³/cell
Energy relative to the lowest polymorph listed for this composition   68 meV/atom

---

6.
Density functional theory data (PBE-GGA) for a relaxed structure of Na4Hg3Pb.

Lattice parameters (Å, degrees): 5.2490 5.2490 8.5327 108.00 107.91 90.00
Last column: nearest neighbours and their distance in Å.
Atoms (fractional coordinates):
Pb 0.5000 0.0000 0.0000  8 Na 3.27
Na 0.3731 0.3730 0.7461  6 Hg 3.22-3.27, 2 Pb 3.27
Na 0.6269 0.6270 0.2539  6 Hg 3.22-3.27, 2 Pb 3.27
Na 0.1269 0.1271 0.2539  6 Hg 3.22-3.27, 2 Pb 3.27
Na 0.8731 0.8729 0.7461  6 Hg 3.22-3.27, 2 Pb 3.27
Hg 0.0000 0.5000 0.0000  8 Na 3.27
Hg 0.7486 0.2487 0.4972  8 Na 3.22-3.25
Hg 0.2514 0.7513 0.5028  8 Na 3.22-3.25

Summary:
Formation enthalpy at 0 K   -0.204 eV/atom
Magnetic moment   0.00 μB per formula unit
SG   No. 12
Final energy   -1.441 eV per atom
Volume   211.6 Å³/cell
Energy relative to the lowest polymorph listed for this composition   3 meV/atom